Run w
Sr2CaY | Alexandria | PBE | relaxed; magnetization = 0.2694 μB/atom
1.0
6.996 -0.003 0.046
5.849 3.838 0.046
1.476 0.441 6.605
Ca Sr Y
1 2 1
direct
0.240 0.240 0.261
0.759 0.759 0.734
0.996 0.996 0.008
0.505 0.505 0.496


Run x
Sr2CaY | Alexandria | PBE | relaxed; magnetization = 0.2861 μB/atom
1.0
3.947 0.000 0.000
0.000 3.947 0.000
0.000 0.000 11.404
Y Ca Sr
1 1 2
direct
0.500 0.500 0.250
0.500 0.500 0.750
0.000 0.000 0.013
0.000 0.000 0.487


What should be chosen as the least stable of them? Choose run w.


Run w
Sr2CaY | Alexandria | PBE | relaxed; magnetization = 0.2912 μB/atom
1.0
3.943 0.000 0.000
1.971 3.415 0.000
1.971 1.138 13.115
Ca Sr Y
1 2 1
direct
0.500 0.500 0.499
0.079 0.079 0.762
0.254 0.254 0.238
0.667 0.667 0.000


Run x
Sr2CaY | Alexandria | PBE | relaxed; magnetization = 0.3265 μB/atom
1.0
-3.471 -11.865 -5.032
-0.296 -11.192 -7.266
0.112 -12.823 -3.702
Ca Sr Y
1 2 1
direct
0.750 0.750 0.750
0.504 0.504 0.504
0.996 0.996 0.996
0.250 0.250 0.250


Run y
Sr2CaY | Alexandria | PBE | relaxed; magnetization = 0.0001 μB/atom
1.0
-9.055 2.289 -2.587
2.347 -1.250 -9.319
-4.321 -3.043 -5.719
Y Sr Ca
2 4 2
direct
0.000 0.000 0.000
0.750 0.250 0.500
0.375 0.375 0.750
0.875 0.875 0.750
0.625 0.125 0.250
0.125 0.625 0.250
0.250 0.750 0.500
0.500 0.500 0.000


What should be chosen as the least stable of them? Choose run y.


Run w
Sr2CaY | Alexandria | PBE | relaxed; magnetization = 0.0000 μB/atom
1.0
0.000 4.420 4.420
4.420 0.000 4.420
4.420 4.420 0.000
Y Ca Sr
1 1 2
direct
0.500 0.500 0.500
0.000 0.000 0.000
0.750 0.750 0.750
0.250 0.250 0.250


Run x
Sr2CaY | Alexandria | PBE | relaxed; magnetization = 0.0000 μB/atom
1.0
6.218 0.000 0.000
0.000 3.803 0.029
0.000 1.369 7.313
Y Ca Sr
1 1 2
direct
0.000 0.501 0.505
0.500 0.743 0.737
0.500 0.257 0.264
0.000 0.999 0.994


What should be chosen as the least stable of them? Choose run w.


Run w
Sr2CaY | Alexandria | PBE | relaxed; magnetization = 0.0001 μB/atom
1.0
-2.933 -2.203 -1.119
2.790 -2.233 1.393
-5.017 0.869 11.446
Y Sr Ca
1 2 1
direct
0.000 0.000 0.508
0.000 0.000 0.992
0.500 0.500 0.269
0.500 0.500 0.731


Run x
Sr2CaY | Alexandria | PBE | relaxed; magnetization = 0.0001 μB/atom
1.0
-3.439 0.290 -2.694
2.263 -4.778 -3.404
-3.145 -4.040 3.580
Sr Y Ca
2 1 1
direct
0.000 0.000 0.000
0.500 0.500 0.000
0.500 0.000 0.500
0.000 0.500 0.500


What should be chosen as the least stable of them? Choose run x.


Run w
Sr2CaY | Alexandria | PBE | relaxed; magnetization = 0.0004 μB/atom
1.0
7.450 -0.001 0.003
3.515 6.569 -0.003
-4.730 -4.541 3.538
Ca Sr Y
1 2 1
direct
0.737 0.237 0.500
0.261 0.761 0.500
0.994 0.994 0.000
0.507 0.507 0.000


Run x
Sr2CaY | Alexandria | PBE | relaxed; magnetization = 0.2701 μB/atom
1.0
6.949 -0.005 -0.010
5.799 3.829 -0.010
1.407 0.422 6.623
Ca Sr Y
1 2 1
direct
0.250 0.250 0.250
0.494 0.494 0.509
0.006 0.006 0.991
0.750 0.750 0.750


What should be chosen as the least stable of them? Choose run x.


Run w
SrCa2Y | Alexandria | PBE | relaxed; magnetization = 0.2439 μB/atom
1.0
6.796 -0.002 0.012
5.682 3.729 0.012
1.289 0.385 6.549
Sr Y Ca
1 1 2
direct
0.505 0.505 0.494
0.254 0.254 0.243
0.995 0.995 0.010
0.747 0.747 0.754


Run x
SrCa2Y | Alexandria | PBE | relaxed; magnetization = 0.0006 μB/atom
1.0
3.750 -0.010 0.000
-1.322 3.509 0.000
0.000 0.000 12.476
Ca Sr Y
2 1 1
direct
0.500 0.500 0.242
0.000 0.000 0.990
0.000 0.000 0.511
0.500 0.500 0.757


Run y
SrCa2Y | Alexandria | PBE | relaxed; magnetization = 0.0000 μB/atom
1.0
-0.241 5.480 -7.743
-4.473 -6.896 -4.742
-5.557 0.642 -5.187
Y Ca Sr
2 4 2
direct
0.000 0.000 0.000
0.750 0.250 0.500
0.631 0.125 0.250
0.375 0.369 0.750
0.875 0.881 0.750
0.119 0.625 0.250
0.500 0.500 0.000
0.250 0.750 0.500


What should be chosen as the least stable of them? Choose run y.